PBE YTaTlCr2, optimized geometry; E_form = 2.281 eV/atom; energy = -28.52 eV per formula unit; total magnetization = 0.0 Bohr magnetons per cell
1.0
4.599 0.000 0.000
0.000 4.599 0.000
0.000 0.000 5.119
Y Ta Tl Cr
1 1 1 2
Direct
0.000 0.000 0.000
0.000 0.000 0.500
0.500 0.500 0.500
0.000 0.500 0.000
0.500 0.000 0.000

---

PBE TmTaCr4, optimized geometry; E_form = 0.093 eV/atom; energy = -54.26 eV per formula unit; total magnetization = 0.0 Bohr magnetons per cell
1.0
0.000 3.552 3.552
3.552 0.000 3.552
3.552 3.552 0.000
Tm Ta Cr
1 1 4
Direct
0.000 0.000 0.000
0.250 0.250 0.250
0.125 0.625 0.625
0.625 0.125 0.625
0.625 0.625 0.125
0.625 0.625 0.625

---

PBE UTa2Cr, optimized geometry; E_form = 0.362 eV/atom; energy = -43.17 eV per formula unit; total magnetization = 0.0 Bohr magnetons per cell
1.0
3.279 0.000 0.000
0.000 3.279 0.000
0.000 0.000 6.490
U Ta Cr
1 2 1
Direct
0.000 0.000 0.000
0.500 0.500 0.269
0.500 0.500 0.731
0.000 0.000 0.500

---

PBE Ta2VCr4, optimized geometry; E_form = 1.043 eV/atom; energy = -64.02 eV per formula unit; total magnetization = 5.8 Bohr magnetons per cell
1.0
4.226 0.000 0.000
0.000 4.226 0.000
0.000 0.000 12.706
Ta V Cr
4 2 8
Direct
0.000 0.000 0.126
0.000 0.000 0.874
0.500 0.500 0.374
0.500 0.500 0.626
0.000 0.000 0.500
0.500 0.500 0.000
0.000 0.000 0.320
0.000 0.000 0.680
0.000 0.500 0.000
0.000 0.500 0.500
0.500 0.000 0.000
0.500 0.000 0.500
0.500 0.500 0.180
0.500 0.500 0.820

---

PBE TaV3Cr, optimized geometry; E_form = 0.809 eV/atom; energy = -44.78 eV per formula unit; total magnetization = 0.0 Bohr magnetons per cell; polymorph energy (0 for the lowest one) = 295 kJ/mol of formula units
1.0
4.294 0.000 0.000
0.000 4.294 0.000
0.000 0.000 4.294
Ta V Cr
1 3 1
Direct
0.000 0.000 0.000
0.000 0.500 0.500
0.500 0.000 0.500
0.500 0.500 0.000
0.500 0.500 0.500

---

PBE Ta3VCr8, optimized geometry; E_form = -0.076 eV/atom; energy = -122.58 eV per formula unit; total magnetization = 0.0 Bohr magnetons per cell
1.0
4.860 0.000 0.000
-2.430 4.209 0.000
0.000 0.000 7.982
Ta V Cr
3 1 8
Direct
0.000 0.000 0.000
0.000 0.000 0.383
0.333 0.667 0.876
0.333 0.667 0.498
0.007 0.504 0.192
0.327 0.164 0.687
0.496 0.504 0.192
0.496 0.993 0.192
0.667 0.333 0.441
0.667 0.333 0.939
0.836 0.164 0.687
0.836 0.673 0.687

---

PBE Ta2V5Cr, optimized geometry; E_form = 0.019 eV/atom; energy = -78.77 eV per formula unit; total magnetization = 0.0 Bohr magnetons per cell
1.0
4.300 0.000 0.000
0.000 4.300 0.000
0.000 0.000 12.512
Ta V Cr
4 10 2
Direct
0.000 0.000 0.250
0.000 0.000 0.750
0.500 0.500 0.250
0.500 0.500 0.750
0.000 0.000 0.000
0.000 0.500 0.114
0.000 0.500 0.386
0.000 0.500 0.614
0.000 0.500 0.886
0.500 0.000 0.114
0.500 0.000 0.386
0.500 0.000 0.614
0.500 0.000 0.886
0.500 0.500 0.500
0.000 0.000 0.500
0.500 0.500 0.000

---

PBE TaVCr, optimized geometry; E_form = 0.034 eV/atom; energy = -30.49 eV per formula unit; total magnetization = 0.0 Bohr magnetons per cell
1.0
4.260 0.000 0.000
0.000 13.320 0.000
0.000 0.000 3.071
Ta V Cr
4 4 4
Direct
0.000 0.089 0.250
0.000 0.911 0.750
0.500 0.411 0.750
0.500 0.589 0.250
0.000 0.259 0.750
0.000 0.741 0.250
0.500 0.241 0.250
0.500 0.759 0.750
0.000 0.419 0.250
0.000 0.581 0.750
0.500 0.081 0.750
0.500 0.919 0.250

---

- What is the formula in the first record?
  YTaTlCr2

---

- The highest E_form belongs to which entry?
  YTaTlCr2

---

- What is the formula in the seventh record?
  Ta2V5Cr